[1]
{
  "formula": "Sn2Pb",
  "functional": "GGA-PBE",
  "state": "optimized geometry",
  "final_energy_ev_per_cell": -22.845,
  "dos_ef_per_ev_atom": 0.5374,
  "spacegroup": "Fd-3m (227)",
  "formation_enthalpy_0k_ev_per_atom": 0.10,
  "lattice_angstrom": [[0.000, 4.477, 4.477], [4.477, 0.000, 4.477], [4.477, 4.477, 0.000]],
  "species": ["Sn", "Sn", "Sn", "Sn", "Pb", "Pb"],
  "frac_coords": [[0.000, 0.000, 0.000], [0.000, 0.000, 0.500], [0.000, 0.500, 0.000], [0.500, 0.000, 0.000], [0.375, 0.375, 0.375], [0.625, 0.625, 0.625]]
}

[2]
{
  "formula": "AcScZnSn",
  "functional": "GGA-PBE",
  "state": "optimized geometry",
  "final_energy_ev_per_cell": -68.584,
  "dos_ef_per_ev_atom": 0.6589,
  "spacegroup": "F-43m (216)",
  "formation_enthalpy_0k_ev_per_atom": -0.36,
  "lattice_angstrom": [[7.539, 0.000, 0.000], [0.000, 7.539, 0.000], [0.000, 0.000, 7.539]],
  "species": ["Ac", "Ac", "Ac", "Ac", "Sc", "Sc", "Sc", "Sc", "Zn", "Zn", "Zn", "Zn", "Sn", "Sn", "Sn", "Sn"],
  "frac_coords": [[0.000, 0.000, 0.000], [0.000, 0.500, 0.500], [0.500, 0.000, 0.500], [0.500, 0.500, 0.000], [0.000, 0.000, 0.500], [0.000, 0.500, 0.000], [0.500, 0.000, 0.000], [0.500, 0.500, 0.500], [0.250, 0.250, 0.250], [0.250, 0.750, 0.750], [0.750, 0.250, 0.750], [0.750, 0.750, 0.250], [0.250, 0.250, 0.750], [0.250, 0.750, 0.250], [0.750, 0.250, 0.250], [0.750, 0.750, 0.750]]
}

Q: Which formula does entry 1 have?
A: Sn2Pb